No. 1
Entry from Alexandria: a relaxed structure of BeCrCo2 (GGA-PBE).

* volume: 10.7 Å³/atom
* energy: -6.40 eV/atom
* space group: No. 122
* formation energy: 494 meV/atom

abc: 4.8475 4.8475 4.8475
angles: 104.57 104.57 119.79
Last column: nearest neighbours and their distance in Å.
Atoms (fractional coordinates):
Be 0.0000 0.0000 0.0000  4 Co 2.11
Be 0.7500 0.2500 0.5000  4 Co 2.11
Cr 0.2500 0.7500 0.5000  4 Co 2.26, 2 Be 2.43
Cr 0.5000 0.5000 0.0000  4 Co 2.26, 2 Be 2.43
Co 0.1064 0.6250 0.9814  2 Be 2.11, 2 Cr 2.26
Co 0.3750 0.3564 0.4814  2 Be 2.11, 2 Cr 2.26
Co 0.6436 0.1250 0.0186  2 Be 2.11, 2 Cr 2.26
Co 0.8750 0.8936 0.5186  2 Be 2.11, 2 Cr 2.26



No. 2
Entry from Alexandria: a relaxed structure of Be2CrCo (GGA-PBE).

* volume: 9.9 Å³/atom
* energy: -5.93 eV/atom
* space group: No. 160
* energy above the most stable polymorph in this dataset: 23.4 kJ per mole of atoms
* formation energy: 116 meV/atom

abc: 7.8772 7.8772 7.8772
angles: 17.76 17.76 17.76
Last column: nearest neighbours and their distance in Å.
Atoms (fractional coordinates):
Be 0.0000 0.0000 0.0000  3 Co 2.32, 9 Be 2.37-2.43
Be 0.2513 0.2513 0.2513  9 Be 2.37-2.43, 3 Cr 2.44
Cr 0.4989 0.4989 0.4989  6 Cr 2.43, 3 Be 2.44, 3 Co 2.45
Co 0.7459 0.7459 0.7459  3 Be 2.32, 6 Co 2.43, 3 Cr 2.45



No. 3
Entry from Alexandria: a relaxed structure of BeCrCo6 (GGA-PBE).

* volume: 10.5 Å³/atom
* energy: -7.00 eV/atom
* space group: No. 65
* formation energy: -6 meV/atom

abc: 6.0254 6.0254 9.8343
angles: 90.00 90.00 109.70
Last column: nearest neighbours and their distance in Å.
Atoms (fractional coordinates):
Be 0.0000 0.0000 0.2492  12 Co 2.43-2.47
Be 0.0000 0.0000 0.7508  12 Co 2.43-2.47
Be 0.2581 0.7419 0.0000  12 Co 2.38-2.54
Be 0.7419 0.2581 0.0000  12 Co 2.38-2.54
Cr 0.2553 0.7447 0.5000  12 Co 2.41-2.52
Cr 0.5000 0.5000 0.2448  12 Co 2.41-2.51
Cr 0.5000 0.5000 0.7552  12 Co 2.41-2.51
Cr 0.7447 0.2553 0.5000  12 Co 2.41-2.52
Co 0.0000 0.0000 0.0000  8 Co 2.43, 4 Be 2.45-2.54
Co 0.0000 0.0000 0.5000  8 Co 2.44, 2 Be 2.47, 2 Cr 2.52
Co 0.1193 0.3711 0.1234  8 Co 2.42-2.48, 3 Be 2.43-2.46, 1 Cr 2.47
Co 0.1193 0.3711 0.8766  8 Co 2.42-2.48, 3 Be 2.43-2.46, 1 Cr 2.47
Co 0.1220 0.3707 0.3739  1 Be 2.43, 8 Co 2.44-2.49, 3 Cr 2.46-2.49
Co 0.1220 0.3707 0.6261  1 Be 2.43, 8 Co 2.44-2.49, 3 Cr 2.46-2.49
Co 0.2494 0.7506 0.2474  8 Co 2.42-2.49, 2 Be 2.43-2.46, 2 Cr 2.47-2.48
Co 0.2494 0.7506 0.7526  8 Co 2.42-2.49, 2 Be 2.43-2.46, 2 Cr 2.47-2.48
Co 0.3711 0.1193 0.1234  8 Co 2.42-2.48, 3 Be 2.43-2.46, 1 Cr 2.47
Co 0.3711 0.1193 0.8766  8 Co 2.42-2.48, 3 Be 2.43-2.46, 1 Cr 2.47
Co 0.3707 0.1220 0.3739  1 Be 2.43, 8 Co 2.44-2.49, 3 Cr 2.46-2.49
Co 0.3707 0.1220 0.6261  1 Be 2.43, 8 Co 2.44-2.49, 3 Cr 2.46-2.49
Co 0.5000 0.5000 0.0000  2 Be 2.38, 2 Cr 2.41, 8 Co 2.48
Co 0.5000 0.5000 0.5000  4 Cr 2.41-2.51, 8 Co 2.48
Co 0.6293 0.8780 0.3739  1 Be 2.43, 8 Co 2.44-2.49, 3 Cr 2.46-2.49
Co 0.6293 0.8780 0.6261  1 Be 2.43, 8 Co 2.44-2.49, 3 Cr 2.46-2.49
Co 0.6289 0.8807 0.1234  8 Co 2.42-2.48, 3 Be 2.43-2.46, 1 Cr 2.47
Co 0.6289 0.8807 0.8766  8 Co 2.42-2.48, 3 Be 2.43-2.46, 1 Cr 2.47
Co 0.7506 0.2494 0.2474  8 Co 2.42-2.49, 2 Be 2.43-2.46, 2 Cr 2.47-2.48
Co 0.7506 0.2494 0.7526  8 Co 2.42-2.49, 2 Be 2.43-2.46, 2 Cr 2.47-2.48
Co 0.8780 0.6293 0.3739  1 Be 2.43, 8 Co 2.44-2.49, 3 Cr 2.46-2.49
Co 0.8780 0.6293 0.6261  1 Be 2.43, 8 Co 2.44-2.49, 3 Cr 2.46-2.49
Co 0.8807 0.6289 0.1234  8 Co 2.42-2.48, 3 Be 2.43-2.46, 1 Cr 2.47
Co 0.8807 0.6289 0.8766  8 Co 2.42-2.48, 3 Be 2.43-2.46, 1 Cr 2.47



No. 4
Entry from Alexandria: a relaxed structure of BeCr2Co (GGA-PBE).

* volume: 10.3 Å³/atom
* energy: -7.53 eV/atom
* space group: No. 10
* formation energy: -7 meV/atom

abc: 2.4238 3.7426 4.6077
angles: 90.00 97.99 90.00
Last column: nearest neighbours and their distance in Å.
Atoms (fractional coordinates):
Be 0.0000 0.0000 0.0000  2 Co 2.30, 8 Cr 2.40-2.57, 2 Be 2.42
Cr 0.4889 0.5000 0.2377  4 Cr 2.20-2.42, 2 Be 2.40
Cr 0.5111 0.5000 0.7623  4 Cr 2.20-2.42, 2 Be 2.40
Co 0.0000 0.0000 0.5000  2 Be 2.30, 2 Co 2.42, 4 Cr 2.47



No. 5
Entry from Alexandria: a relaxed structure of Be2Cr2Co (GGA-PBE).

* volume: 9.9 Å³/atom
* energy: -6.75 eV/atom
* space group: No. 127
* formation energy: 13 meV/atom

abc: 5.7261 5.7261 3.0094
angles: 90.00 90.00 90.00
Last column: nearest neighbours and their distance in Å.
Atoms (fractional coordinates):
Be 0.1254 0.3746 0.0000  1 Be 2.03, 2 Cr 2.22, 2 Co 2.26
Be 0.3746 0.8746 0.0000  1 Be 2.03, 2 Cr 2.22, 2 Co 2.26
Be 0.6254 0.1254 0.0000  1 Be 2.03, 2 Cr 2.22, 2 Co 2.26
Be 0.8746 0.6254 0.0000  1 Be 2.03, 2 Cr 2.22, 2 Co 2.26
Cr 0.1733 0.6733 0.5000  6 Be 2.22-2.29
Cr 0.3267 0.1733 0.5000  6 Be 2.22-2.29
Cr 0.6733 0.8267 0.5000  6 Be 2.22-2.29
Cr 0.8267 0.3267 0.5000  6 Be 2.22-2.29
Co 0.0000 0.0000 0.0000  4 Be 2.26
Co 0.5000 0.5000 0.0000  4 Be 2.26



No. 6
Entry from Alexandria: a relaxed structure of Be4CrCo (GGA-PBE).

* volume: 8.8 Å³/atom
* energy: -5.50 eV/atom
* space group: No. 216
* formation energy: -227 meV/atom

abc: 4.2135 4.2135 4.2135
angles: 60.00 60.00 60.00
Last column: nearest neighbours and their distance in Å.
Atoms (fractional coordinates):
Be 0.1247 0.1247 0.1247  6 Be 2.10-2.11
Be 0.1247 0.1247 0.6260  6 Be 2.10-2.11
Be 0.1247 0.6260 0.1247  6 Be 2.10-2.11
Be 0.6260 0.1247 0.1247  6 Be 2.10-2.11
Cr 0.5000 0.5000 0.5000  12 Be 2.47, 4 Co 2.58
Co 0.7500 0.7500 0.7500  12 Be 2.47, 4 Cr 2.58



No. 7
Entry from Alexandria: a relaxed structure of Be2CrCo2 (GGA-PBE).

* volume: 9.7 Å³/atom
* energy: -6.23 eV/atom
* space group: No. 127
* energy above the most stable polymorph in this dataset: 15.5 kJ per mole of atoms
* formation energy: 28 meV/atom

abc: 6.2155 6.2155 2.5201
angles: 90.00 90.00 90.00
Last column: nearest neighbours and their distance in Å.
Atoms (fractional coordinates):
Be 0.1575 0.3425 0.0000  6 Co 2.18-2.24
Be 0.3425 0.8425 0.0000  6 Co 2.18-2.24
Be 0.6575 0.1575 0.0000  6 Co 2.18-2.24
Be 0.8425 0.6575 0.0000  6 Co 2.18-2.24
Cr 0.0000 0.0000 0.5000  4 Co 2.40, 2 Cr 2.52, 8 Be 2.66
Cr 0.5000 0.5000 0.5000  4 Co 2.40, 2 Cr 2.52, 8 Be 2.66
Co 0.1397 0.6397 0.5000  6 Be 2.18-2.24, 2 Cr 2.40
Co 0.3603 0.1397 0.5000  6 Be 2.18-2.24, 2 Cr 2.40
Co 0.6397 0.8603 0.5000  6 Be 2.18-2.24, 2 Cr 2.40
Co 0.8603 0.3603 0.5000  6 Be 2.18-2.24, 2 Cr 2.40



No. 8
Entry from Alexandria: a relaxed structure of BeCr2Co (GGA-PBE).

* volume: 10.6 Å³/atom
* energy: -7.46 eV/atom
* space group: No. 44
* formation energy: 55 meV/atom

abc: 4.4675 4.4675 4.4675
angles: 142.76 127.32 66.27
Last column: nearest neighbours and their distance in Å.
Atoms (fractional coordinates):
Be 0.0000 0.0000 0.0000  2 Co 2.31, 6 Cr 2.44-2.45
Cr 0.4991 0.4991 0.0000  2 Cr 2.26, 2 Co 2.39, 4 Be 2.44
Cr 0.7336 0.2336 0.5000  2 Cr 2.26, 4 Co 2.44, 2 Be 2.45
Co 0.2425 0.7425 0.5000  2 Be 2.31, 6 Cr 2.39-2.44



No. 9
Entry from Alexandria: a relaxed structure of BeCr2Co (GGA-PBE).

* volume: 11.1 Å³/atom
* energy: -7.34 eV/atom
* space group: No. 123
* formation energy: 179 meV/atom

abc: 3.9717 3.9717 2.8029
angles: 90.00 90.00 90.00
Last column: nearest neighbours and their distance in Å.
Atoms (fractional coordinates):
Be 0.0000 0.0000 0.0000  8 Cr 2.43
Cr 0.0000 0.5000 0.5000  4 Co 2.43, 4 Be 2.43
Cr 0.5000 0.0000 0.5000  4 Co 2.43, 4 Be 2.43
Co 0.5000 0.5000 0.0000  8 Cr 2.43



No. 10
Entry from Alexandria: a relaxed structure of BeCr2Co (GGA-PBE).

* volume: 10.3 Å³/atom
* energy: -7.58 eV/atom
* space group: No. 71
* formation energy: -58 meV/atom

abc: 4.5811 4.5811 4.5811
angles: 144.20 132.46 60.91
Last column: nearest neighbours and their distance in Å.
Atoms (fractional coordinates):
Be 0.0000 0.0000 0.0000  4 Co 2.32, 4 Cr 2.42
Cr 0.2497 0.7497 0.5000  4 Cr 2.32, 2 Be 2.42, 2 Co 2.43
Cr 0.7503 0.2503 0.5000  4 Cr 2.32, 2 Be 2.42, 2 Co 2.43
Co 0.5000 0.5000 0.0000  4 Be 2.32, 4 Cr 2.43



No. 11
Entry from Alexandria: a relaxed structure of BeCr2Co (GGA-PBE).

* volume: 10.4 Å³/atom
* energy: -7.48 eV/atom
* space group: No. 12
* formation energy: 37 meV/atom

abc: 4.4716 4.4716 2.4089
angles: 95.22 95.22 118.44
Last column: nearest neighbours and their distance in Å.
Atoms (fractional coordinates):
Be 0.0000 0.0000 0.0000  2 Co 2.29, 2 Be 2.41, 4 Cr 2.44
Cr 0.0000 0.5000 0.5000  4 Cr 2.29-2.41, 2 Co 2.44, 2 Be 2.44
Cr 0.5000 0.0000 0.5000  4 Cr 2.29-2.41, 2 Co 2.44, 2 Be 2.44
Co 0.5000 0.5000 0.0000  2 Be 2.29, 2 Co 2.41, 4 Cr 2.44



No. 12
Entry from Alexandria: a relaxed structure of Be2CrCo (GGA-PBE).

* volume: 9.6 Å³/atom
* energy: -6.02 eV/atom
* space group: No. 12
* energy above the most stable polymorph in this dataset: 14.5 kJ per mole of atoms
* formation energy: 23 meV/atom

abc: 4.3215 4.3215 2.3640
angles: 98.65 98.65 115.03
Last column: nearest neighbours and their distance in Å.
Atoms (fractional coordinates):
Be 0.0000 0.5000 0.0000  2 Cr 2.30, 2 Co 2.30, 4 Be 2.32-2.36
Be 0.5000 0.0000 0.0000  2 Cr 2.30, 2 Co 2.30, 4 Be 2.32-2.36
Cr 0.0000 0.0000 0.5000  4 Be 2.30, 2 Co 2.32, 2 Cr 2.36
Co 0.5000 0.5000 0.5000  4 Be 2.30, 2 Cr 2.32, 2 Co 2.36